(1)
# GGA-PBE Ac2Zn7Rh, relaxed
data_Ac2Zn7Rh
_chemical_formula_sum 'Ac2 Zn7 Rh1'
_space_group_name_H-M_alt 'P -4 m 2'
_space_group_IT_number 115
_space_group_name_Hall 'P -4 -2'
_cell_length_a 4.447
_cell_length_b 4.447
_cell_length_c 10.446
_cell_angle_alpha 90.00
_cell_angle_beta 90.00
_cell_angle_gamma 90.00
loop_
_atom_site_label
_atom_site_fract_x
_atom_site_fract_y
_atom_site_fract_z
_atom_site_occupancy
Ac1 0.000 0.500 0.242 1
Zn1 0.000 0.000 0.000 1
Zn2 0.000 0.000 0.500 1
Zn3 0.000 0.500 0.627 1
Zn4 0.000 0.500 0.874 1
Zn5 0.500 0.500 0.500 1
Rh1 0.500 0.500 0.000 1
# Calculated formation energy: -0.33 eV/atom
# Total energy: -27.8 eV per formula unit
# Total magnetization: 0.00 μB per atom



(2)
# GGA-PBE Ac4ZnRh3, relaxed
data_Ac4ZnRh3
_chemical_formula_sum 'Ac4 Zn1 Rh3'
_space_group_name_H-M_alt 'P m m 2'
_space_group_IT_number 25
_space_group_name_Hall 'P 2 -2'
_cell_length_a 4.186
_cell_length_b 4.499
_cell_length_c 11.615
_cell_angle_alpha 90.00
_cell_angle_beta 90.00
_cell_angle_gamma 90.00
loop_
_atom_site_label
_atom_site_fract_x
_atom_site_fract_y
_atom_site_fract_z
_atom_site_occupancy
Ac1 0.000 0.000 0.000 1
Ac2 0.000 0.500 0.261 1
Ac3 0.500 0.000 0.481 1
Ac4 0.500 0.500 0.769 1
Zn1 0.000 0.000 0.692 1
Rh1 0.000 0.500 0.564 1
Rh2 0.500 0.000 0.219 1
Rh3 0.500 0.500 0.035 1
# Calculated formation energy: -0.58 eV/atom
# Total energy: -44.4 eV per formula unit
# Total magnetization: 0.00 μB per atom